Computed, not measured: a relaxed HoHgBr2 crystal at the PBE level of DFT.

Cell lengths 3.8154, 3.8154, 35.0553 Å; angles 90.00, 90.00, 120.00 degrees
Element x y z (fractional)
Ho1 0.0000 0.0000 0.0000
Ho2 0.3333 0.6667 0.6667
Ho3 0.6667 0.3333 0.3333
Hg1 0.0000 0.0000 0.5000
Hg2 0.3333 0.6667 0.1667
Hg3 0.6667 0.3333 0.8333
Br1 0.0000 0.0000 0.3857
Br2 0.0000 0.0000 0.6143
Br3 0.3333 0.6667 0.0523
Br4 0.3333 0.6667 0.2810
Br5 0.6667 0.3333 0.7190
Br6 0.6667 0.3333 0.9477

Results
space group	R-3m (166)
E_tot	-3.208	eV/atom
E_form (uncorrected)	-1.15	eV per atom

---

Computed, not measured: a relaxed Dy6Er12Tl crystal at the PBE level of DFT.

Cell lengths 8.3881, 8.3881, 8.3881 Å; angles 88.77, 88.77, 88.77 degrees
Element x y z (fractional)
Dy1 0.2005 0.5946 0.7585
Dy2 0.2415 0.7995 0.4054
Dy3 0.4054 0.2415 0.7995
Dy4 0.5946 0.7585 0.2005
Dy5 0.7585 0.2005 0.5946
Dy6 0.7995 0.4054 0.2415
Er1 0.0398 0.2786 0.9341
Er2 0.0659 0.9602 0.7214
Er3 0.1382 0.3127 0.4882
Er4 0.2786 0.9341 0.0398
Er5 0.3127 0.4882 0.1382
Er6 0.4882 0.1382 0.3127
Er7 0.5118 0.8618 0.6873
Er8 0.6873 0.5118 0.8618
Er9 0.7214 0.0659 0.9602
Er10 0.8618 0.6873 0.5118
Er11 0.9341 0.0398 0.2786
Er12 0.9602 0.7214 0.0659
Tl1 0.5000 0.5000 0.5000

Results
space group	R-3 (148)
E_tot	-4.368	eV/atom

---

Computed, not measured: a relaxed ErCu3Si2 crystal at the PBE level of DFT.

Cell lengths 7.5367, 7.5367, 7.1306 Å; angles 114.54, 114.54, 30.04 degrees
Element x y z (fractional)
Er1 0.1500 0.1500 0.0689
Er2 0.8500 0.8500 0.9311
Cu1 0.0379 0.0379 0.3712
Cu2 0.3151 0.3151 0.5506
Cu3 0.4005 0.4005 0.3116
Cu4 0.5995 0.5995 0.6884
Cu5 0.6849 0.6849 0.4494
Cu6 0.9621 0.9621 0.6288
Si1 0.1929 0.1929 0.6900
Si2 0.4806 0.4806 0.8264
Si3 0.5194 0.5194 0.1736
Si4 0.8071 0.8071 0.3100

Results
space group	C2/m (12)
E_tot	-5.048	eV/atom
E_form (uncorrected)	-0.43	eV per atom

---

Computed, not measured: a relaxed Sr2NdPaAs4 crystal at the PBE level of DFT.

Cell lengths 7.4403, 4.3232, 7.5665 Å; angles 90.00, 109.06, 90.00 degrees
Element x y z (fractional)
Sr1 0.0000 0.0000 0.0000
Sr2 0.5000 0.5000 0.0000
Nd1 0.0000 0.5000 0.5000
Pa1 0.5000 0.0000 0.5000
As1 0.2575 0.0000 0.7234
As2 0.2732 0.5000 0.2819
As3 0.7268 0.5000 0.7181
As4 0.7425 0.0000 0.2766

Results
space group	P2/m (10)
E_tot	-5.796	eV/atom

---

Computed, not measured: a relaxed Pr3SmDy2Te6 crystal at the PBE level of DFT.

Cell lengths 10.0007, 10.0007, 9.0126 Å; angles 103.91, 103.91, 25.49 degrees
Element x y z (fractional)
Pr1 0.0000 0.0000 0.0000
Pr2 0.3363 0.3363 0.6672
Pr3 0.6637 0.6637 0.3328
Sm1 0.0000 0.0000 0.5000
Dy1 0.3345 0.3345 0.1687
Dy2 0.6655 0.6655 0.8313
Te1 0.1666 0.1666 0.5932
Te2 0.1706 0.1706 0.0752
Te3 0.4957 0.4957 0.2524
Te4 0.5043 0.5043 0.7476
Te5 0.8294 0.8294 0.9248
Te6 0.8334 0.8334 0.4068

Results
space group	C2/m (12)
E_tot	-5.307	eV/atom
E_form (uncorrected)	-1.38	eV per atom

---

Computed, not measured: a relaxed HoTm2Pt2 crystal at the PBE level of DFT.

Cell lengths 4.2008, 6.4910, 8.5965 Å; angles 90.00, 90.00, 90.00 degrees
Element x y z (fractional)
Ho1 0.0000 0.0000 0.0000
Ho2 0.5000 0.5000 0.5000
Tm1 0.0000 0.5000 0.1955
Tm2 0.0000 0.5000 0.8045
Tm3 0.5000 0.0000 0.3045
Tm4 0.5000 0.0000 0.6955
Pt1 0.0000 0.2136 0.5000
Pt2 0.0000 0.7864 0.5000
Pt3 0.5000 0.2864 0.0000
Pt4 0.5000 0.7136 0.0000

Results
distance to the lowest polymorph of the same formula	0.0346	eV per atom
space group	Immm (71)
E_tot	-6.126	eV/atom

---

Computed, not measured: a relaxed LiSn6 crystal at the PBE level of DFT.

Cell lengths 8.1527, 8.1527, 8.1527 Å; angles 90.00, 90.00, 90.00 degrees
Element x y z (fractional)
Li1 0.0000 0.0000 0.0000
Li2 0.5000 0.5000 0.5000
Sn1 0.0000 0.2500 0.5000
Sn2 0.0000 0.5000 0.2500
Sn3 0.0000 0.5000 0.7500
Sn4 0.0000 0.7500 0.5000
Sn5 0.2500 0.0000 0.5000
Sn6 0.2500 0.5000 0.0000
Sn7 0.5000 0.0000 0.2500
Sn8 0.5000 0.0000 0.7500
Sn9 0.5000 0.2500 0.0000
Sn10 0.5000 0.7500 0.0000
Sn11 0.7500 0.0000 0.5000
Sn12 0.7500 0.5000 0.0000

Results
space group	Im-3m (229)
E_tot	-3.519	eV/atom

---

Computed, not measured: a relaxed NbBi2PbBr crystal at the PBE level of DFT.

Cell lengths 5.4596, 5.4596, 5.6148 Å; angles 90.00, 90.00, 90.00 degrees
Element x y z (fractional)
Nb1 0.0000 0.0000 0.0000
Bi1 0.0000 0.5000 0.0000
Bi2 0.5000 0.0000 0.0000
Pb1 0.0000 0.0000 0.5000
Br1 0.5000 0.5000 0.5000

Results
space group	P4/mmm (123)
E_tot	-4.525	eV/atom
E_form (uncorrected)	0.12	eV per atom